[1]
VASP calculation (GGA-PBE) on a relaxed Pm2InCu crystal.

Cell and atoms, written as extended XYZ:
```
4
Lattice="3.617 0.000 0.000 0.000 3.617 0.000 0.000 0.000 7.847" Properties=species:S:1:pos:R:3 pbc="T T T"
In 1.809 1.809 3.923
Pm 0.000 0.000 6.089
Cu 1.809 1.809 0.000
Pm 0.000 0.000 1.758
```

Total energy ... -4.40 eV/atom
Crystal system ... tetragonal
Theoretical density ... 7.58 g/cm³

---

[2]
VASP calculation (GGA-PBE) on a relaxed PmInCu2 crystal.

Cell and atoms, written as extended XYZ:
```
4
Lattice="-0.634 3.285 -1.627 -2.706 -2.099 -3.185 -3.730 0.641 2.747" Properties=species:S:1:pos:R:3 pbc="T T T"
Cu -1.353 -1.050 -1.592
Pm -3.535 0.913 -1.032
Cu -1.865 0.320 1.374
In -0.317 1.643 -0.813
```

Total energy ... -4.00 eV/atom
Crystal system ... tetragonal
Theoretical density ... 7.90 g/cm³

---

[3]
VASP calculation (GGA-PBE) on a relaxed PmIn2Cu crystal.

Cell and atoms, written as extended XYZ:
```
4
Lattice="4.500 0.000 0.000 2.250 3.897 0.000 2.250 1.299 5.521" Properties=species:S:1:pos:R:3 pbc="T T T"
Cu 4.500 2.598 2.761
Pm 0.000 0.000 0.000
In 2.250 1.299 1.916
In 6.750 3.897 3.605
```

Total energy ... -3.85 eV/atom
Crystal system ... trigonal
Polymorph energy (0 for the lowest one) ... 67 meV/atom
Theoretical density ... 7.51 g/cm³

---

[4]
VASP calculation (GGA-PBE) on a relaxed Pm4InCu crystal.

Cell and atoms, written as extended XYZ:
```
12
Lattice="5.000 0.000 -2.185 0.000 7.211 0.000 -0.149 0.000 9.627" Properties=species:S:1:pos:R:3 pbc="T T T"
In 1.549 1.803 0.142
Pm 1.661 5.409 0.500
Cu 0.848 1.803 4.912
Pm 3.189 1.803 6.942
In 3.301 5.409 7.300
Cu 4.002 5.409 2.530
Pm 0.336 3.753 7.157
Pm 0.336 7.064 7.157
Pm 4.514 3.458 0.285
Pm 1.902 5.409 4.365
Pm 4.514 0.147 0.285
Pm 2.948 1.803 3.077
```

Total energy ... -4.50 eV/atom
Crystal system ... monoclinic
Polymorph energy (0 for the lowest one) ... 0 meV/atom
Theoretical density ... 7.31 g/cm³

---

[5]
VASP calculation (GGA-PBE) on a relaxed Pm8InCu2 crystal.

Cell and atoms, written as extended XYZ:
```
11
Lattice="-5.043 -0.461 0.168 0.055 -3.211 -7.174 3.270 -5.574 6.460" Properties=species:S:1:pos:R:3 pbc="T T T"
Pm -2.011 -6.161 -0.889
Pm 0.294 -3.085 0.342
Pm -1.829 -6.269 4.313
Pm 0.111 -2.977 -4.860
Pm 0.636 -6.413 1.498
Pm -2.193 -5.506 -4.557
Cu -2.036 -4.951 1.700
Pm 0.475 -3.740 4.011
In -2.521 -0.231 0.084
Cu 0.318 -4.295 -2.246
Pm -2.354 -2.833 -2.044
```

Total energy ... -4.58 eV/atom
Crystal system ... monoclinic
Theoretical density ... 7.30 g/cm³

---

[6]
VASP calculation (GGA-PBE) on a relaxed Pm3In6Cu5 crystal.

Cell and atoms, written as extended XYZ:
```
28
Lattice="4.604 0.000 0.000 0.000 9.354 0.000 0.000 0.000 13.784" Properties=species:S:1:pos:R:3 pbc="T T T"
In 2.302 0.255 8.943
Pm 0.000 2.340 4.013
Pm 0.000 2.496 0.000
Cu 2.302 4.247 5.098
Cu 0.000 8.240 9.034
In 2.302 0.255 4.840
In 0.000 3.840 6.892
In 0.000 5.645 9.180
Cu 0.000 5.107 1.794
Cu 0.000 5.107 11.990
In 0.000 9.098 2.051
Pm 2.302 7.014 10.905
In 0.000 9.098 11.732
Cu 0.000 7.062 0.000
In 2.302 8.833 0.000
Cu 2.302 1.113 11.642
Cu 2.302 2.292 6.892
Pm 0.000 2.340 9.771
Cu 2.302 1.113 2.142
In 0.000 0.520 6.892
Pm 2.302 7.014 2.879
In 2.302 3.708 11.496
Pm 2.302 6.858 6.892
Cu 2.302 4.247 8.685
In 2.302 3.708 2.288
Cu 0.000 8.240 4.750
In 0.000 5.645 4.604
In 2.302 5.514 0.000
```

Total energy ... -3.93 eV/atom
Crystal system ... orthorhombic
Theoretical density ... 8.07 g/cm³

---

[7]
VASP calculation (GGA-PBE) on a relaxed Pm12InCu6 crystal.

Cell and atoms, written as extended XYZ:
```
19
Lattice="-2.253 8.360 1.507 -1.611 -1.999 -8.405 -4.695 -5.286 5.220" Properties=species:S:1:pos:R:3 pbc="T T T"
Pm -5.600 3.352 3.421
Pm -5.758 -1.039 -2.390
Pm -6.220 0.545 0.981
Pm -2.830 5.606 -0.709
Cu -2.778 3.554 -2.631
Cu -3.623 -2.868 -2.432
Cu -5.782 -2.480 0.953
Pm -3.190 -1.598 0.313
Pm -2.340 0.530 -2.659
Pm -3.896 3.091 -5.437
Cu -4.318 0.424 -4.654
Pm -5.370 2.673 -1.992
Cu -4.241 0.650 2.976
Cu -4.936 3.943 0.754
Pm -5.729 -4.531 -0.969
Pm -2.960 -2.277 -5.099
In 0.000 0.000 0.000
Pm -2.802 2.114 0.712
Pm -4.664 -2.017 3.759
```

Total energy ... -4.58 eV/atom
Crystal system ... cubic
Theoretical density ... 7.11 g/cm³

---

[8]
VASP calculation (GGA-PBE) on a relaxed PmInCu2 crystal.

Cell and atoms, written as extended XYZ:
```
4
Lattice="4.770 -0.271 -0.183 2.624 3.993 -0.183 2.624 1.321 3.772" Properties=species:S:1:pos:R:3 pbc="T T T"
Cu 5.000 2.517 1.700
Pm 2.504 1.261 0.851
Cu 0.008 0.004 0.003
In 7.513 3.782 2.554
```

Total energy ... -4.23 eV/atom
Crystal system ... trigonal
Theoretical density ... 8.33 g/cm³

---

[9]
VASP calculation (GGA-PBE) on a relaxed Pm12InCu5 crystal.

Cell and atoms, written as extended XYZ:
```
18
Lattice="1.556 6.610 -5.398 6.564 -5.666 -0.246 -7.073 -4.520 -2.190" Properties=species:S:1:pos:R:3 pbc="T T T"
Cu -2.818 -0.157 -4.081
Pm -0.077 0.753 -3.133
Pm 3.073 2.705 -3.868
Cu 5.225 0.608 -3.631
In -0.254 -5.093 -1.218
Pm 3.563 -5.253 -1.347
Pm -2.026 -6.281 -3.966
Pm 1.141 -7.641 -2.934
Pm -1.844 -2.631 -3.093
Cu 2.896 0.337 -2.013
Pm -0.094 4.065 -4.900
Pm 2.891 -0.945 -4.741
Pm -0.366 -1.387 -6.203
Pm -2.516 1.677 -6.487
Pm 1.413 -2.189 -1.630
Cu 0.000 0.000 0.000
Cu 3.866 -3.419 -3.753
Pm 1.124 -4.329 -4.700
```

Total energy ... -4.60 eV/atom
Crystal system ... orthorhombic
Theoretical density ... 7.21 g/cm³

---

[10]
VASP calculation (GGA-PBE) on a relaxed Pm8In2Cu crystal.

Cell and atoms, written as extended XYZ:
```
11
Lattice="5.247 0.000 0.000 0.000 6.867 0.196 -2.624 -2.660 9.196" Properties=species:S:1:pos:R:3 pbc="T T T"
Pm 2.624 3.268 5.498
Pm 0.000 1.532 7.618
Cu 2.624 0.000 0.000
Pm 2.624 5.916 2.943
Pm 0.000 5.263 0.408
Pm 2.624 -1.056 8.984
In 0.000 4.140 3.506
Pm 0.000 -1.709 6.450
In 2.624 0.067 5.886
Pm 2.624 2.675 1.774
Pm 0.000 0.939 3.894
```

Total energy ... -4.51 eV/atom
Crystal system ... monoclinic
Theoretical density ... 7.22 g/cm³

---

[11]
VASP calculation (GGA-PBE) on a relaxed Pm11In9Cu4 crystal.

Cell and atoms, written as extended XYZ:
```
24
Lattice="3.807 0.000 0.000 0.000 12.307 -5.204 0.000 0.051 13.362" Properties=species:S:1:pos:R:3 pbc="T T T"
In 1.904 9.663 8.274
In 1.904 10.345 0.565
In 1.904 7.774 -1.132
In 1.904 2.014 7.593
In 1.904 2.695 -0.116
Cu 1.904 9.285 3.450
In 1.904 4.585 9.291
Pm 0.000 5.094 -1.224
Pm 0.000 10.317 -2.189
Pm 0.000 4.622 6.438
In 1.904 11.406 5.634
In 1.904 0.953 2.524
Pm 0.000 0.000 0.000
Cu 1.904 5.537 0.976
Pm 0.000 11.482 2.993
Cu 1.904 6.821 7.182
Cu 1.904 3.073 4.708
Pm 0.000 2.041 10.347
Pm 0.000 7.736 1.720
In 1.904 6.179 4.079
Pm 0.000 3.815 2.518
Pm 0.000 0.877 5.165
Pm 0.000 7.265 9.382
Pm 0.000 8.544 5.640
```

Total energy ... -4.32 eV/atom
Crystal system ... orthorhombic
Theoretical density ... 7.63 g/cm³

---

[12]
VASP calculation (GGA-PBE) on a relaxed PmIn2Cu crystal.

Cell and atoms, written as extended XYZ:
```
4
Lattice="-3.521 -2.067 2.149 -1.411 -1.680 -3.927 2.542 -3.654 0.650" Properties=species:S:1:pos:R:3 pbc="T T T"
Pm -1.195 -3.701 -0.564
In 1.271 -1.827 0.325
Cu -1.760 -1.034 1.075
In -0.706 -0.840 -1.964
```

Total energy ... -3.82 eV/atom
Crystal system ... tetragonal
Polymorph energy (0 for the lowest one) ... 95 meV/atom
Theoretical density ... 7.79 g/cm³

---

[13]
VASP calculation (GGA-PBE) on a relaxed PmIn2Cu crystal.

Cell and atoms, written as extended XYZ:
```
8
Lattice="-2.990 -1.240 -3.347 -1.077 -4.385 2.586 -5.653 4.410 3.416" Properties=species:S:1:pos:R:3 pbc="T T T"
In -5.639 -2.669 1.168
In -4.081 1.455 1.487
Pm -2.438 -1.759 1.210
Cu -4.974 -0.585 -0.198
In -6.822 -0.529 4.670
Cu -4.745 -0.629 2.852
In -2.898 -0.685 -2.015
Pm -7.282 0.545 1.445
```

Total energy ... -3.87 eV/atom
Crystal system ... monoclinic
Polymorph energy (0 for the lowest one) ... 41 meV/atom
Theoretical density ... 7.61 g/cm³

---

[14]
VASP calculation (GGA-PBE) on a relaxed Pm4InCu crystal.

Cell and atoms, written as extended XYZ:
```
6
Lattice="5.050 0.000 -0.001 -0.001 5.054 0.000 0.004 0.009 7.506" Properties=species:S:1:pos:R:3 pbc="T T T"
Pm 2.531 5.041 2.023
In 2.535 2.523 7.492
Pm 0.006 2.516 2.024
Pm 2.534 5.050 5.454
Cu 0.010 5.041 3.738
Pm 0.010 2.521 5.454
```

Total energy ... -4.29 eV/atom
Crystal system ... monoclinic
Polymorph energy (0 for the lowest one) ... 209 meV/atom
Theoretical density ... 6.57 g/cm³

---

[15]
VASP calculation (GGA-PBE) on a relaxed PmIn6Cu6 crystal.

Cell and atoms, written as extended XYZ:
```
13
Lattice="5.505 0.000 0.000 2.753 6.564 -0.060 2.753 0.097 6.563" Properties=species:S:1:pos:R:3 pbc="T T T"
Cu 5.505 1.622 5.002
Cu 5.505 5.040 1.501
Cu 4.129 0.049 3.282
Cu 1.376 0.049 3.282
In 8.258 5.429 5.301
In 2.753 1.232 1.203
In 5.505 2.286 2.232
In 2.753 2.284 4.324
In 2.753 4.377 2.180
Pm 0.000 0.000 0.000
Cu 1.376 3.282 -0.030
In 5.505 4.375 4.271
Cu 4.129 3.282 -0.030
```

Total energy ... -3.67 eV/atom
Crystal system ... orthorhombic
Theoretical density ... 8.51 g/cm³

---

[16]
VASP calculation (GGA-PBE) on a relaxed Pm7In2Cu2 crystal.

Cell and atoms, written as extended XYZ:
```
11
Lattice="-6.404 2.905 -0.283 -0.623 -0.683 7.111 4.763 5.101 0.907" Properties=species:S:1:pos:R:3 pbc="T T T"
Pm 1.096 6.047 6.043
Pm -4.180 5.281 2.004
Pm 0.000 0.000 0.000
Pm 1.916 2.043 5.731
Pm -3.360 1.277 1.692
Pm -1.295 3.486 5.701
In -1.670 6.289 4.073
In -0.594 1.035 3.663
Pm -0.969 3.838 2.034
Cu 1.505 4.461 0.560
Cu -3.769 2.863 7.175
```

Total energy ... -4.33 eV/atom
Crystal system ... orthorhombic
Theoretical density ... 6.77 g/cm³

---

[17]
VASP calculation (GGA-PBE) on a relaxed Pm3InCu crystal.

Cell and atoms, written as extended XYZ:
```
15
Lattice="7.441 0.000 0.000 0.000 7.441 0.000 0.000 0.000 7.441" Properties=species:S:1:pos:R:3 pbc="T T T"
Cu 3.720 0.000 0.000
Pm 3.720 3.720 3.720
Pm 1.727 5.714 5.714
In 0.000 3.720 3.720
Pm 5.714 5.714 1.727
Pm 5.714 1.727 5.714
Pm 5.714 5.714 5.714
Pm 1.727 1.727 5.714
In 3.720 0.000 3.720
Cu 0.000 0.000 3.720
In 3.720 3.720 0.000
Cu 0.000 3.720 0.000
Pm 5.714 1.727 1.727
Pm 1.727 5.714 1.727
Pm 1.727 1.727 1.727
```

Total energy ... -4.41 eV/atom
Crystal system ... cubic
Theoretical density ... 7.42 g/cm³

---

[18]
VASP calculation (GGA-PBE) on a relaxed Pm3In3Cu2 crystal.

Cell and atoms, written as extended XYZ:
```
32
Lattice="5.869 0.000 0.000 0.000 8.460 0.000 0.000 0.000 15.934" Properties=species:S:1:pos:R:3 pbc="T T T"
Pm 5.178 4.542 14.156
Cu 0.705 7.635 14.169
Cu 5.165 0.825 6.202
Pm 3.625 0.312 9.745
Pm 0.764 1.485 11.951
Pm 2.170 5.715 11.951
Cu 2.230 3.405 9.732
In 2.211 5.696 3.984
In 5.146 6.994 11.951
Pm 2.244 8.149 6.189
Pm 3.625 0.312 14.156
Cu 3.639 5.056 6.202
In 5.224 6.867 0.583
Pm 5.105 6.976 3.984
Pm 0.691 3.919 1.778
Cu 3.639 5.056 1.765
In 0.646 1.593 8.550
Pm 3.699 2.746 3.984
Cu 0.705 7.635 9.732
In 2.289 5.823 8.550
In 2.289 5.823 15.352
Pm 0.691 3.919 6.189
In 0.646 1.593 15.352
In 3.580 2.637 7.385
In 3.658 2.764 11.951
Cu 2.230 3.405 14.169
In 0.724 1.466 3.984
In 5.224 6.867 7.385
Cu 5.165 0.825 1.765
Pm 2.244 8.149 1.778
Pm 5.178 4.542 9.745
In 3.580 2.637 0.583
```

Total energy ... -4.18 eV/atom
Crystal system ... orthorhombic
Theoretical density ... 7.61 g/cm³

---

[19]
VASP calculation (GGA-PBE) on a relaxed PmInCu3 crystal.

Cell and atoms, written as extended XYZ:
```
10
Lattice="-0.600 2.652 -2.959 -3.432 -1.605 -0.742 -3.654 8.567 8.420" Properties=species:S:1:pos:R:3 pbc="T T T"
Pm -0.989 1.877 0.518
Cu -3.527 3.154 -0.551
Pm -6.697 7.738 4.201
Cu -4.160 6.461 5.270
In -5.017 4.416 3.611
Cu -5.225 8.001 6.867
Cu -2.461 1.613 -2.148
In -2.670 5.199 1.108
Cu -3.852 2.732 1.866
Cu -3.835 6.882 2.853
```

Total energy ... -4.09 eV/atom
Crystal system ... orthorhombic
Theoretical density ... 7.77 g/cm³

---

[20]
VASP calculation (GGA-PBE) on a relaxed Pm2In3Cu2 crystal.

Cell and atoms, written as extended XYZ:
```
7
Lattice="4.380 0.000 0.000 -2.190 4.941 -2.142 0.000 -0.321 7.549" Properties=species:S:1:pos:R:3 pbc="T T T"
Pm 2.190 3.483 0.051
In 2.190 1.133 2.809
Cu 2.190 3.187 4.523
In 2.190 0.000 0.000
Cu 0.000 1.433 0.884
Pm 0.000 1.137 5.356
In 0.000 3.487 2.598
```

Total energy ... -4.03 eV/atom
Crystal system ... monoclinic
Theoretical density ... 7.89 g/cm³